# Mo2AsAu (PBE, relaxed)
data_Mo2AsAu
_chemical_formula_sum 'Mo2 As1 Au1'
_space_group_name_H-M_alt 'P 1 m 1'
_space_group_IT_number 6
_space_group_name_Hall 'P -2y'
_cell_length_a 2.916
_cell_length_b 4.495
_cell_length_c 5.296
_cell_angle_alpha 90.00
_cell_angle_beta 105.59
_cell_angle_gamma 90.00
loop_
_atom_site_label
_atom_site_type_symbol
_atom_site_fract_x
_atom_site_fract_y
_atom_site_fract_z
Mo1 Mo 0.000 0.000 0.000
Mo2 Mo 0.367 0.500 0.754
As1 As 0.087 0.500 0.202
Au1 Au 0.732 0.000 0.482
# ΔE_f ... 1.07 eV per formula unit